(1)
This record from the Alexandria database describes a relaxed structure of SrGe2Rh. The functional is PBE-GGA.

For the total energy, the calculation gives -79.54 eV for the cell shown. The value obtained for the formation energy is -0.40 eV per atom. Its mass density is 5.33 g/cm³. For the density of states at the Fermi level, the calculation gives 8.20 states/eV/cell. The size of the total moment is 0.00 μB per formula unit.

The structure belongs to space group I-42d (No. 122); the cell edges are 5.051, 5.051 and 16.401 Å and the angles 90.00°, 90.00° and 90.00°. Symmetry generates all atoms from Sr at (0.000, 0.000, 0.000), Ge at (0.002, 0.250, 0.625) and Rh at (0.000, 0.000, 0.500).

(2)
This record from the Alexandria database describes a relaxed structure of Sr2Ge2Rh. The functional is PBE-GGA.

For the total energy, the calculation gives -44.75 eV for the cell shown. The value obtained for the formation energy is -0.49 eV per atom. Its mass density is 5.94 g/cm³. For the density of states at the Fermi level, the calculation gives 6.94 states/eV/cell. The size of the total moment is 0.00 μB per formula unit.

The structure belongs to space group P4/mbm (No. 127); the cell edges are 6.969, 6.969 and 4.878 Å and the angles 90.00°, 90.00° and 90.00°. Symmetry generates all atoms from Sr at (0.176, 0.324, 0.000), Ge at (0.134, 0.634, 0.500) and Rh at (0.000, 0.000, 0.500).

(3)
This record from the Alexandria database describes a relaxed structure of SrGe3Rh2. The functional is PBE-GGA.

For the total energy, the calculation gives -195.02 eV for the cell shown. The value obtained for the formation energy is -0.38 eV per atom. Its mass density is 7.07 g/cm³. For the density of states at the Fermi level, the calculation gives 26.16 states/eV/cell. The size of the total moment is 0.00 μB per formula unit.

The structure belongs to space group R-3m (No. 166, hexagonal axes); the cell edges are 6.0552, 6.0552 and 22.6991 Å and the angles 90.00°, 90.00° and 120.00°. Symmetry generates all atoms from Sr at (0.0000, 0.0000, 0.2060), Ge at (0.0084, 0.5042, 0.2526), Rh at (0.0000, 0.0000, 0.0000) and Rh at (0.0000, 0.5000, 0.0000).

(4)
This record from the Alexandria database describes a relaxed structure of Sr2Ge5Rh3. The functional is PBE-GGA.

For the total energy, the calculation gives -220.10 eV for the cell shown. The value obtained for the formation energy is -0.65 eV per atom. Its mass density is 7.27 g/cm³. For the density of states at the Fermi level, the calculation gives 16.47 states/eV/cell. The size of the total moment is 0.00 μB per formula unit.

The structure belongs to space group Ibam (No. 72); the cell edges are 10.241, 12.589 and 6.006 Å and the angles 90.00°, 90.00° and 90.00°. Symmetry generates all atoms from Sr at (0.231, 0.135, 0.000), Ge at (0.000, 0.000, 0.250), Ge at (0.000, 0.281, 0.250), Ge at (0.161, 0.401, 0.000), Rh at (0.000, 0.500, 0.250) and Rh at (0.100, 0.139, 0.500).

(5)
This record from the Alexandria database describes a relaxed structure of SrGe2Rh3. The functional is PBE-GGA.

For the total energy, the calculation gives -146.99 eV for the cell shown. The value obtained for the formation energy is -0.63 eV per atom. Its mass density is 8.00 g/cm³. For the density of states at the Fermi level, the calculation gives 10.47 states/eV/cell. The size of the total moment is 0.00 μB per formula unit.

The structure belongs to space group C2/m (No. 12); the cell edges are 15.833, 4.093 and 7.675 Å and the angles 90.00°, 115.32° and 90.00°. Symmetry generates all atoms from Sr at (0.154, 0.000, 0.068), Ge at (0.019, 0.500, 0.183), Ge at (0.183, 0.000, 0.649), Rh at (0.036, 0.000, 0.365), Rh at (0.094, 0.500, 0.672) and Rh at (0.182, 0.500, 0.433).

(6)
This record from the Alexandria database describes a relaxed structure of SrGe3Rh3. The functional is PBE-GGA.

For the total energy, the calculation gives -81.66 eV for the cell shown. The value obtained for the formation energy is -0.46 eV per atom. As for the offset from the most stable computed form: 0.0 kJ per mole of atoms. Its mass density is 6.80 g/cm³. For the density of states at the Fermi level, the calculation gives 3.10 states/eV/cell. The size of the total moment is 0.00 μB per formula unit.

The structure belongs to space group P6_3/m (No. 176); the cell edges are 8.9807, 8.9807 and 4.2924 Å and the angles 90.00°, 90.00° and 120.00°. Symmetry generates all atoms from Sr at (0.3333, 0.6667, 0.2500), Ge at (0.0660, 0.7156, 0.7500) and Rh at (0.0533, 0.4222, 0.7500).

(7)
This record from the Alexandria database describes a relaxed structure of SrGe2Rh. The functional is PBE-GGA.

For the total energy, the calculation gives -61.98 eV for the cell shown. The value obtained for the formation energy is -0.60 eV per atom. Its mass density is 6.46 g/cm³. For the density of states at the Fermi level, the calculation gives 7.75 states/eV/cell. The size of the total moment is 0.00 μB per formula unit.

The structure belongs to space group R-3m (No. 166, hexagonal axes); the cell edges are 4.2310, 4.2310 and 16.7165 Å and the angles 90.00°, 90.00° and 120.00°. Symmetry generates all atoms from Sr at (0.0000, 0.0000, 0.0000), Ge at (0.0000, 0.0000, 0.2124) and Rh at (0.0000, 0.0000, 0.5000).

(8)
This record from the Alexandria database describes a relaxed structure of SrGe4Rh4. The functional is PBE-GGA.

For the total energy, the calculation gives -108.30 eV for the cell shown. The value obtained for the formation energy is -0.51 eV per atom. Its mass density is 7.69 g/cm³. For the density of states at the Fermi level, the calculation gives 10.88 states/eV/cell. The size of the total moment is 0.00 μB per formula unit.

The structure belongs to space group P4_2/n (No. 86, origin choice 2); the cell edges are 8.365, 8.365 and 4.875 Å and the angles 90.00°, 90.00° and 90.00°. Symmetry generates all atoms from Sr at (0.250, 0.250, 0.250), Ge at (0.061, 0.897, 0.178) and Rh at (0.114, 0.880, 0.671).

What did the seventh record say?
This record from the Alexandria database describes a relaxed structure of SrGe2Rh. The functional is PBE-GGA.

For the total energy, the calculation gives -61.98 eV for the cell shown. The value obtained for the formation energy is -0.60 eV per atom. Its mass density is 6.46 g/cm³. For the density of states at the Fermi level, the calculation gives 7.75 states/eV/cell. The size of the total moment is 0.00 μB per formula unit.

The structure belongs to space group R-3m (No. 166, hexagonal axes); the cell edges are 4.2310, 4.2310 and 16.7165 Å and the angles 90.00°, 90.00° and 120.00°. Symmetry generates all atoms from Sr at (0.0000, 0.0000, 0.0000), Ge at (0.0000, 0.0000, 0.2124) and Rh at (0.0000, 0.0000, 0.5000).